[1]
# PuHfTl2

An optimized crystal structure of PuHfTl2 (GGA-PBE, Alexandria).

```
data_PuHfTl2
_space_group_name_H-M_alt 'P 4/m m m'
_space_group_IT_number 123
_space_group_name_Hall '-P 4 2'
_cell_length_a 4.692
_cell_length_b 4.692
_cell_length_c 4.562
_cell_angle_alpha 90.00
_cell_angle_beta 90.00
_cell_angle_gamma 90.00
loop_
_atom_site_label
_atom_site_type_symbol
_atom_site_fract_x
_atom_site_fract_y
_atom_site_fract_z
Pu1 Pu 0.000 0.000 0.000
Hf1 Hf 0.500 0.500 0.000
Tl1 Tl 0.000 0.500 0.500
```

Summary:
- Density: 13.744 g cm⁻³
- Relative energy among the computed polymorphs: 0.104 eV per atom
- Calculated formation energy: 0.1524 eV per atom
- Total DFT energy (no corrections): -28.408 eV per cell
- M_tot: 6.8 μB/f.u.

[2]
# TmPuHf2

An optimized crystal structure of TmPuHf2 (GGA-PBE, Alexandria).

```
data_TmPuHf2
_space_group_name_H-M_alt 'P 4/m m m'
_space_group_IT_number 123
_space_group_name_Hall '-P 4 2'
_cell_length_a 3.757
_cell_length_b 3.757
_cell_length_c 6.952
_cell_angle_alpha 90.00
_cell_angle_beta 90.00
_cell_angle_gamma 90.00
loop_
_atom_site_label
_atom_site_type_symbol
_atom_site_fract_x
_atom_site_fract_y
_atom_site_fract_z
Tm1 Tm 0.000 0.000 0.000
Pu1 Pu 0.000 0.000 0.500
Hf1 Hf 0.500 0.500 0.281
```

Summary:
- Density: 13.027 g cm⁻³
- Relative energy among the computed polymorphs: 0.055 eV per atom
- Calculated formation energy: 0.2160 eV per atom
- Total DFT energy (no corrections): -37.846 eV per cell
- M_tot: 5.3 μB/f.u.

[3]
# TmPuHf2

An optimized crystal structure of TmPuHf2 (GGA-PBE, Alexandria).

```
data_TmPuHf2
_space_group_name_H-M_alt 'R -3 m'
_space_group_IT_number 166
_space_group_name_Hall '-R 3 2"'
_cell_length_a 3.2644
_cell_length_b 3.2644
_cell_length_c 31.9242
_cell_angle_alpha 90.00
_cell_angle_beta 90.00
_cell_angle_gamma 120.00
loop_
_atom_site_label
_atom_site_type_symbol
_atom_site_fract_x
_atom_site_fract_y
_atom_site_fract_z
Tm1 Tm 0.0000 0.0000 0.0000
Pu1 Pu 0.0000 0.0000 0.5000
Hf1 Hf 0.0000 0.0000 0.2478
```

Summary:
- Density: 13.018 g cm⁻³
- Relative energy among the computed polymorphs: 0.018 eV per atom
- Calculated formation energy: 0.1788 eV per atom
- Total DFT energy (no corrections): -113.985 eV per cell
- M_tot: 5.3 μB/f.u.

[4]
# Tm2PuHf

An optimized crystal structure of Tm2PuHf (GGA-PBE, Alexandria).

```
data_Tm2PuHf
_space_group_name_H-M_alt 'R 3 m'
_space_group_IT_number 160
_space_group_name_Hall 'R 3 -2"'
_cell_length_a 3.3728
_cell_length_b 3.3728
_cell_length_c 32.8771
_cell_angle_alpha 90.00
_cell_angle_beta 90.00
_cell_angle_gamma 120.00
loop_
_atom_site_label
_atom_site_type_symbol
_atom_site_fract_x
_atom_site_fract_y
_atom_site_fract_z
Tm1 Tm 0.0000 0.0000 0.0000
Tm2 Tm 0.0000 0.0000 0.1582
Pu1 Pu 0.0000 0.0000 0.5789
Hf1 Hf 0.0000 0.0000 0.4128
```

Summary:
- Density: 11.695 g cm⁻³
- Relative energy among the computed polymorphs: 0.000 eV per atom
- Calculated formation energy: 0.1348 eV per atom
- Total DFT energy (no corrections): -98.068 eV per cell
- M_tot: 6.1 μB/f.u.

[5]
# TmPu2Hf

An optimized crystal structure of TmPu2Hf (GGA-PBE, Alexandria).

```
data_TmPu2Hf
_space_group_name_H-M_alt 'P 4/m m m'
_space_group_IT_number 123
_space_group_name_Hall '-P 4 2'
_cell_length_a 3.270
_cell_length_b 3.270
_cell_length_c 9.606
_cell_angle_alpha 90.00
_cell_angle_beta 90.00
_cell_angle_gamma 90.00
loop_
_atom_site_label
_atom_site_type_symbol
_atom_site_fract_x
_atom_site_fract_y
_atom_site_fract_z
Tm1 Tm 0.000 0.000 0.000
Pu1 Pu 0.500 0.500 0.266
Hf1 Hf 0.000 0.000 0.500
```

Summary:
- Density: 13.504 g cm⁻³
- Relative energy among the computed polymorphs: 0.000 eV per atom
- Calculated formation energy: 0.1563 eV per atom
- Total DFT energy (no corrections): -42.463 eV per cell
- M_tot: 11.7 μB/f.u.

[6]
# Tm2PuHf

An optimized crystal structure of Tm2PuHf (GGA-PBE, Alexandria).

```
data_Tm2PuHf
_space_group_name_H-M_alt 'R -3 m'
_space_group_IT_number 166
_space_group_name_Hall '-R 3 2"'
_cell_length_a 3.2529
_cell_length_b 3.2529
_cell_length_c 35.3229
_cell_angle_alpha 90.00
_cell_angle_beta 90.00
_cell_angle_gamma 120.00
loop_
_atom_site_label
_atom_site_type_symbol
_atom_site_fract_x
_atom_site_fract_y
_atom_site_fract_z
Tm1 Tm 0.0000 0.0000 0.0881
Pu1 Pu 0.0000 0.0000 0.5000
Hf1 Hf 0.0000 0.0000 0.0000
```

Summary:
- Density: 11.702 g cm⁻³
- Relative energy among the computed polymorphs: 0.243 eV per atom
- Calculated formation energy: 0.3779 eV per atom
- Total DFT energy (no corrections): -95.150 eV per cell
- M_tot: 5.2 μB/f.u.

Q: Look up the total DFT energy (no corrections) of the second one.
A: -37.846 eV per cell

Q: What is the formula in the third record?
A: TmPuHf2

Q: Which of these has the lowest density?
A: number 4

Q: Which formula does entry 4 have?
A: Tm2PuHf